Record 1
DFT (PBE-GGA) results for an optimized crystal structure of ScCdNi3.

a b c (Å): 4.474 4.474 4.474
angles (deg): 90.00 90.00 90.00
Sites, in units of the cell vectors:
Sc 0.000 0.000 0.000
Cd 0.500 0.500 0.500
Ni 0.000 0.000 0.500
Ni 0.000 0.500 0.000
Ni 0.500 0.000 0.000

Properties
- volume (Å³ per cell) = 90
- symmetry = Pm-3m (221)
- ΔE to the lowest computed polymorph (eV per atom) = 0.000
- energy relative to the elements (eV per formula unit) = 3.936

***

Record 2
DFT (PBE-GGA) results for an optimized crystal structure of ScCd2Ni.

a b c (Å): 9.394 9.394 9.394
angles (deg): 19.15 19.15 19.15
Sites, in units of the cell vectors:
Sc 0.000 0.000 0.000
Cd 0.240 0.240 0.240
Cd 0.760 0.760 0.760
Ni 0.500 0.500 0.500

Properties
- volume (Å³ per cell) = 78
- symmetry = R-3m (166)
- energy relative to the elements (eV per formula unit) = 0.343

***

Record 3
DFT (PBE-GGA) results for an optimized crystal structure of ScCdNi2.

a b c (Å): 5.652 5.652 5.652
angles (deg): 104.37 104.37 120.25
Sites, in units of the cell vectors:
Sc 0.000 0.000 0.000
Sc 0.750 0.250 0.500
Cd 0.250 0.750 0.500
Cd 0.500 0.500 0.000
Ni 0.116 0.125 0.491
Ni 0.375 0.884 0.009
Ni 0.634 0.625 0.509
Ni 0.875 0.366 0.991

Properties
- volume (Å³ per cell) = 135
- symmetry = I-42d (122)
- energy relative to the elements (eV per formula unit) = 0.426

***

Record 4
DFT (PBE-GGA) results for an optimized crystal structure of Sc2Cd2Ni.

a b c (Å): 6.909 6.909 4.383
angles (deg): 90.00 90.00 90.00
Sites, in units of the cell vectors:
Sc 0.169 0.331 0.000
Sc 0.331 0.831 0.000
Sc 0.669 0.169 0.000
Sc 0.831 0.669 0.000
Cd 0.142 0.642 0.500
Cd 0.358 0.142 0.500
Cd 0.642 0.858 0.500
Cd 0.858 0.358 0.500
Ni 0.000 0.000 0.500
Ni 0.500 0.500 0.500

Properties
- volume (Å³ per cell) = 209
- symmetry = P4/mbm (127)
- ΔE to the lowest computed polymorph (eV per atom) = 0.336
- energy relative to the elements (eV per formula unit) = -0.059

***

Record 5
DFT (PBE-GGA) results for an optimized crystal structure of ScCd4Ni.

a b c (Å): 7.988 7.988 5.296
angles (deg): 109.33 109.33 51.69
Sites, in units of the cell vectors:
Sc 0.205 0.205 0.207
Sc 0.795 0.795 0.793
Cd 0.104 0.654 0.379
Cd 0.195 0.805 0.000
Cd 0.327 0.327 0.828
Cd 0.346 0.896 0.621
Cd 0.654 0.104 0.379
Cd 0.673 0.673 0.172
Cd 0.805 0.195 0.000
Cd 0.896 0.346 0.621
Ni 0.500 0.500 0.275
Ni 0.500 0.500 0.725

Properties
- volume (Å³ per cell) = 247
- symmetry = C2/m (12)
- ΔE to the lowest computed polymorph (eV per atom) = 0.000
- energy relative to the elements (eV per formula unit) = -0.178

***

Record 6
DFT (PBE-GGA) results for an optimized crystal structure of Sc2Cd2Ni.

a b c (Å): 9.644 9.644 9.644
angles (deg): 160.70 160.70 27.43
Sites, in units of the cell vectors:
Sc 0.081 0.081 0.000
Sc 0.919 0.919 0.000
Cd 0.304 0.304 0.000
Cd 0.696 0.696 0.000
Ni 0.500 0.500 0.000

Properties
- volume (Å³ per cell) = 98
- symmetry = I4/mmm (139)
- ΔE to the lowest computed polymorph (eV per atom) = 0.000
- energy relative to the elements (eV per formula unit) = -1.738